*a*
# Nb6VRh

A relaxed structure of Nb6VRh (GGA-PBE, the Alexandria database).

Cell: 5.185 5.188 5.187 Å, 90.00 90.06 90.00°
Positions (direct):
Nb 0.000 0.250 0.000
Nb 0.000 0.750 0.000
Nb 0.250 0.000 0.500
Nb 0.499 0.500 0.750
Nb 0.501 0.500 0.250
Nb 0.750 0.000 0.500
V 0.500 0.000 0.000
Rh 0.000 0.500 0.500

Size of the total moment: 0.94 Bohr magnetons per cell
Density of states at the Fermi level: 1.273 states/eV per atom
SG: P2/m

---

*b*
# Nb6VRh

A relaxed structure of Nb6VRh (GGA-PBE, the Alexandria database).

Cell: 4.601 4.601 12.982 Å, 90.00 90.00 90.00°
Positions (direct):
Nb 0.000 0.000 0.246
Nb 0.000 0.000 0.754
Nb 0.000 0.500 0.122
Nb 0.000 0.500 0.378
Nb 0.000 0.500 0.622
Nb 0.000 0.500 0.878
Nb 0.500 0.000 0.122
Nb 0.500 0.000 0.378
Nb 0.500 0.000 0.622
Nb 0.500 0.000 0.878
Nb 0.500 0.500 0.254
Nb 0.500 0.500 0.746
V 0.000 0.000 0.000
V 0.500 0.500 0.500
Rh 0.000 0.000 0.500
Rh 0.500 0.500 0.000

Size of the total moment: 0.00 Bohr magnetons per cell
Density of states at the Fermi level: 0.759 states/eV per atom
SG: I4/mmm

---

Taking the most stable structure as the zero point, the relative energies in meV/atom are *a* 13; *b* 0.

---

*a*
# Nb3VRh

A relaxed structure of Nb3VRh (GGA-PBE, the Alexandria database).

Cell: 4.811 4.811 4.811 Å, 90.00 90.00 90.00°
Positions (direct):
Nb 0.000 0.000 0.500
Nb 0.000 0.500 0.000
Nb 0.500 0.000 0.000
V 0.500 0.500 0.500
Rh 0.000 0.000 0.000

Size of the total moment: 3.17 Bohr magnetons per cell
Density of states at the Fermi level: 1.536 states/eV per atom
SG: Pm-3m

---

*b*
# Nb3VRh

A relaxed structure of Nb3VRh (GGA-PBE, the Alexandria database).

Cell: 4.578 4.578 4.578 Å, 90.00 90.00 90.00°
Positions (direct):
Nb 0.000 0.000 0.500
Nb 0.000 0.500 0.000
Nb 0.500 0.000 0.000
V 0.000 0.000 0.000
Rh 0.500 0.500 0.500

Size of the total moment: 0.00 Bohr magnetons per cell
Density of states at the Fermi level: 1.630 states/eV per atom
SG: Pm-3m

---

Taking the most stable structure as the zero point, the relative energies in meV/atom are *a* 221; *b* 0.

---

*a*
# Nb6RhW

A relaxed structure of Nb6RhW (GGA-PBE, the Alexandria database).

Cell: 5.213 5.213 5.213 Å, 90.00 90.00 90.00°
Positions (direct):
Nb 0.000 0.250 0.500
Nb 0.000 0.750 0.500
Nb 0.250 0.500 0.000
Nb 0.500 0.000 0.250
Nb 0.500 0.000 0.750
Nb 0.750 0.500 0.000
Rh 0.500 0.500 0.500
W 0.000 0.000 0.000

Size of the total moment: 0.00 Bohr magnetons per cell
Density of states at the Fermi level: 1.009 states/eV per atom
SG: Pm-3

---

*b*
# Nb6RhW

A relaxed structure of Nb6RhW (GGA-PBE, the Alexandria database).

Cell: 4.616 4.616 13.125 Å, 90.00 90.00 90.00°
Positions (direct):
Nb 0.000 0.000 0.248
Nb 0.000 0.000 0.752
Nb 0.000 0.500 0.123
Nb 0.000 0.500 0.377
Nb 0.000 0.500 0.623
Nb 0.000 0.500 0.877
Nb 0.500 0.000 0.123
Nb 0.500 0.000 0.377
Nb 0.500 0.000 0.623
Nb 0.500 0.000 0.877
Nb 0.500 0.500 0.252
Nb 0.500 0.500 0.748
Rh 0.000 0.000 0.500
Rh 0.500 0.500 0.000
W 0.000 0.000 0.000
W 0.500 0.500 0.500

Size of the total moment: 0.00 Bohr magnetons per cell
Density of states at the Fermi level: 0.761 states/eV per atom
SG: I4/mmm

---

Taking the most stable structure as the zero point, the relative energies in meV/atom are *a* 9; *b* 0.

---

*a*
# Nb4RhW

A relaxed structure of Nb4RhW (GGA-PBE, the Alexandria database).

Cell: 7.260 3.266 9.156 Å, 90.00 108.05 90.00°
Positions (direct):
Nb 0.000 0.000 0.000
Nb 0.000 0.000 0.500
Nb 0.005 0.500 0.250
Nb 0.336 0.500 0.582
Nb 0.338 0.500 0.086
Nb 0.662 0.500 0.914
Nb 0.664 0.500 0.418
Nb 0.995 0.500 0.750
Rh 0.331 0.000 0.833
Rh 0.669 0.000 0.167
W 0.338 0.000 0.332
W 0.662 0.000 0.668

Size of the total moment: 0.00 Bohr magnetons per cell
Density of states at the Fermi level: 0.818 states/eV per atom
SG: P2/m

---

*b*
# Nb4RhW

A relaxed structure of Nb4RhW (GGA-PBE, the Alexandria database).

Cell: 6.187 6.187 6.345 Å, 90.00 90.08 90.00°
Positions (direct):
Nb 0.250 0.250 0.249
Nb 0.250 0.250 0.751
Nb 0.250 0.750 0.249
Nb 0.250 0.750 0.751
Nb 0.750 0.250 0.249
Nb 0.750 0.250 0.751
Nb 0.750 0.750 0.249
Nb 0.750 0.750 0.751
Rh 0.000 0.000 0.500
Rh 0.500 0.500 0.500
W 0.000 0.500 0.000
W 0.500 0.000 0.000

Size of the total moment: 0.00 Bohr magnetons per cell
Density of states at the Fermi level: 0.831 states/eV per atom
SG: C2/m

---

Taking the most stable structure as the zero point, the relative energies in meV/atom are *a* 0; *b* 602.

---

*a*
# Nb3RhW

A relaxed structure of Nb3RhW (GGA-PBE, the Alexandria database).

Cell: 4.803 4.803 4.803 Å, 90.00 90.00 90.00°
Positions (direct):
Nb 0.000 0.000 0.500
Nb 0.000 0.500 0.000
Nb 0.500 0.000 0.000
Rh 0.500 0.500 0.500
W 0.000 0.000 0.000

Size of the total moment: 0.00 Bohr magnetons per cell
Density of states at the Fermi level: 1.606 states/eV per atom
SG: Pm-3m

---

*b*
# Nb3RhW

A relaxed structure of Nb3RhW (GGA-PBE, the Alexandria database).

Cell: 4.743 4.743 4.743 Å, 90.00 90.00 90.00°
Positions (direct):
Nb 0.000 0.000 0.500
Nb 0.000 0.500 0.000
Nb 0.500 0.000 0.000
Rh 0.000 0.000 0.000
W 0.500 0.500 0.500

Size of the total moment: 0.00 Bohr magnetons per cell
Density of states at the Fermi level: 1.473 states/eV per atom
SG: Pm-3m

---

Taking the most stable structure as the zero point, the relative energies in meV/atom are *a* 81; *b* 0.

---

*a*
# NbRh2W2

A relaxed structure of NbRh2W2 (GGA-PBE, the Alexandria database).

Cell: 7.656 7.656 2.765 Å, 90.00 90.00 90.00°
Positions (direct):
Nb 0.000 0.000 0.000
Nb 0.500 0.500 0.000
Rh 0.125 0.375 0.000
Rh 0.375 0.875 0.000
Rh 0.625 0.125 0.000
Rh 0.875 0.625 0.000
W 0.171 0.671 0.500
W 0.329 0.171 0.500
W 0.671 0.829 0.500
W 0.829 0.329 0.500

Size of the total moment: 0.00 Bohr magnetons per cell
Density of states at the Fermi level: 0.899 states/eV per atom
SG: P4/mbm

---

*b*
# NbRh2W2

A relaxed structure of NbRh2W2 (GGA-PBE, the Alexandria database).

Cell: 7.658 7.658 2.776 Å, 90.00 90.00 90.00°
Positions (direct):
Nb 0.000 0.000 0.000
Nb 0.500 0.500 0.000
Rh 0.174 0.326 0.500
Rh 0.326 0.826 0.500
Rh 0.674 0.174 0.500
Rh 0.826 0.674 0.500
W 0.122 0.622 0.000
W 0.378 0.122 0.000
W 0.622 0.878 0.000
W 0.878 0.378 0.000

Size of the total moment: 0.07 Bohr magnetons per cell
Density of states at the Fermi level: 1.167 states/eV per atom
SG: P4/mbm

---

Taking the most stable structure as the zero point, the relative energies in meV/atom are *a* 0; *b* 52.

---

*a*
# NbRhW3

A relaxed structure of NbRhW3 (GGA-PBE, the Alexandria database).

Cell: 4.703 4.703 4.703 Å, 90.00 90.00 90.00°
Positions (direct):
Nb 0.000 0.000 0.000
Rh 0.500 0.500 0.500
W 0.000 0.000 0.500
W 0.000 0.500 0.000
W 0.500 0.000 0.000

Size of the total moment: 0.00 Bohr magnetons per cell
Density of states at the Fermi level: 1.160 states/eV per atom
SG: Pm-3m

---

*b*
# NbRhW3

A relaxed structure of NbRhW3 (GGA-PBE, the Alexandria database).

Cell: 4.671 4.671 4.671 Å, 90.00 90.00 90.00°
Positions (direct):
Nb 0.000 0.000 0.000
Rh 0.500 0.500 0.500
W 0.000 0.500 0.500
W 0.500 0.000 0.500
W 0.500 0.500 0.000

Size of the total moment: 0.00 Bohr magnetons per cell
Density of states at the Fermi level: 1.159 states/eV per atom
SG: Pm-3m

---

Taking the most stable structure as the zero point, the relative energies in meV/atom are *a* 479; *b* 0.

---

*a*
# YNb2Rh2

A relaxed structure of YNb2Rh2 (GGA-PBE, the Alexandria database).

Cell: 8.022 8.022 2.873 Å, 90.00 90.00 90.00°
Positions (direct):
Y 0.000 0.000 0.000
Y 0.500 0.500 0.000
Nb 0.121 0.379 0.000
Nb 0.379 0.879 0.000
Nb 0.621 0.121 0.000
Nb 0.879 0.621 0.000
Rh 0.174 0.674 0.500
Rh 0.326 0.174 0.500
Rh 0.674 0.826 0.500
Rh 0.826 0.326 0.500

Size of the total moment: 0.00 Bohr magnetons per cell
Density of states at the Fermi level: 1.159 states/eV per atom
SG: P4/mbm

---

*b*
# YNb2Rh2

A relaxed structure of YNb2Rh2 (GGA-PBE, the Alexandria database).

Cell: 7.810 7.810 3.049 Å, 90.00 90.00 90.00°
Positions (direct):
Y 0.000 0.000 0.000
Y 0.500 0.500 0.000
Nb 0.164 0.336 0.500
Nb 0.336 0.836 0.500
Nb 0.664 0.164 0.500
Nb 0.836 0.664 0.500
Rh 0.128 0.628 0.000
Rh 0.372 0.128 0.000
Rh 0.628 0.872 0.000
Rh 0.872 0.372 0.000

Size of the total moment: 0.00 Bohr magnetons per cell
Density of states at the Fermi level: 1.239 states/eV per atom
SG: P4/mbm

---

Taking the most stable structure as the zero point, the relative energies in meV/atom are *a* 0; *b* 5.

---

*a*
# YNb2Rh2

A relaxed structure of YNb2Rh2 (GGA-PBE, the Alexandria database).

Cell: 4.453 4.453 10.373 Å, 90.00 90.00 90.00°
Positions (direct):
Y 0.000 0.000 0.000
Y 0.500 0.500 0.500
Nb 0.000 0.500 0.250
Nb 0.000 0.500 0.750
Nb 0.500 0.000 0.250
Nb 0.500 0.000 0.750
Rh 0.000 0.000 0.374
Rh 0.000 0.000 0.626
Rh 0.500 0.500 0.126
Rh 0.500 0.500 0.874

Size of the total moment: 0.00 Bohr magnetons per cell
Density of states at the Fermi level: 0.862 states/eV per atom
SG: I4/mmm

---

*b*
# YNb2Rh2

A relaxed structure of YNb2Rh2 (GGA-PBE, the Alexandria database).

Cell: 4.662 4.662 9.578 Å, 90.00 90.00 90.00°
Positions (direct):
Y 0.000 0.000 0.000
Y 0.500 0.500 0.500
Nb 0.000 0.000 0.363
Nb 0.000 0.000 0.637
Nb 0.500 0.500 0.137
Nb 0.500 0.500 0.863
Rh 0.000 0.500 0.250
Rh 0.000 0.500 0.750
Rh 0.500 0.000 0.250
Rh 0.500 0.000 0.750

Size of the total moment: 0.00 Bohr magnetons per cell
Density of states at the Fermi level: 0.828 states/eV per atom
SG: I4/mmm

---

Taking the most stable structure as the zero point, the relative energies in meV/atom are *a* 0; *b* 254.

---

*a*
# Y3NbRh

A relaxed structure of Y3NbRh (GGA-PBE, the Alexandria database).

Cell: 5.262 5.262 5.262 Å, 90.00 90.00 90.00°
Positions (direct):
Y 0.000 0.000 0.500
Y 0.000 0.500 0.000
Y 0.500 0.000 0.000
Nb 0.000 0.000 0.000
Rh 0.500 0.500 0.500

Size of the total moment: 0.00 Bohr magnetons per cell
Density of states at the Fermi level: 0.739 states/eV per atom
SG: Pm-3m

---

*b*
# Y3NbRh

A relaxed structure of Y3NbRh (GGA-PBE, the Alexandria database).

Cell: 5.314 5.314 5.314 Å, 90.00 90.00 90.00°
Positions (direct):
Y 0.000 0.000 0.500
Y 0.000 0.500 0.000
Y 0.500 0.000 0.000
Nb 0.500 0.500 0.500
Rh 0.000 0.000 0.000

Size of the total moment: 3.69 Bohr magnetons per cell
Density of states at the Fermi level: 0.951 states/eV per atom
SG: Pm-3m

---

Taking the most stable structure as the zero point, the relative energies in meV/atom are *a* 542; *b* 0.

---

*a*
# YNb3Rh

A relaxed structure of YNb3Rh (GGA-PBE, the Alexandria database).

Cell: 4.905 4.905 4.905 Å, 90.00 90.00 90.00°
Positions (direct):
Y 0.000 0.000 0.000
Nb 0.000 0.500 0.500
Nb 0.500 0.000 0.500
Nb 0.500 0.500 0.000
Rh 0.500 0.500 0.500

Size of the total moment: 0.00 Bohr magnetons per cell
Density of states at the Fermi level: 2.141 states/eV per atom
SG: Pm-3m

---

*b*
# YNb3Rh

A relaxed structure of YNb3Rh (GGA-PBE, the Alexandria database).

Cell: 4.845 4.845 4.845 Å, 90.00 90.00 90.00°
Positions (direct):
Y 0.000 0.000 0.000
Nb 0.000 0.000 0.500
Nb 0.000 0.500 0.000
Nb 0.500 0.000 0.000
Rh 0.500 0.500 0.500

Size of the total moment: 0.00 Bohr magnetons per cell
Density of states at the Fermi level: 1.864 states/eV per atom
SG: Pm-3m

---

Taking the most stable structure as the zero point, the relative energies in meV/atom are *a* 0; *b* 1519.

---

*a*
# NbZn2Rh3

A relaxed structure of NbZn2Rh3 (GGA-PBE, the Alexandria database).

Cell: 6.966 6.966 6.050 Å, 90.00 90.00 143.12°
Positions (direct):
Nb 0.158 0.842 0.000
Nb 0.842 0.158 0.000
Zn 0.169 0.831 0.500
Zn 0.500 0.500 0.000
Zn 0.500 0.500 0.500
Zn 0.831 0.169 0.500
Rh 0.000 0.000 0.260
Rh 0.000 0.000 0.740
Rh 0.332 0.668 0.249
Rh 0.332 0.668 0.751
Rh 0.668 0.332 0.249
Rh 0.668 0.332 0.751

Size of the total moment: 0.00 Bohr magnetons per cell
Density of states at the Fermi level: 0.386 states/eV per atom
SG: Cmmm

---

*b*
# NbZn2Rh3

A relaxed structure of NbZn2Rh3 (GGA-PBE, the Alexandria database).

Cell: 3.171 3.171 8.824 Å, 90.00 90.00 90.00°
Positions (direct):
Nb 0.000 0.000 0.000
Zn 0.000 0.000 0.343
Zn 0.000 0.000 0.657
Rh 0.500 0.500 0.169
Rh 0.500 0.500 0.500
Rh 0.500 0.500 0.831

Size of the total moment: 0.00 Bohr magnetons per cell
Density of states at the Fermi level: 0.448 states/eV per atom
SG: P4/mmm

---

Taking the most stable structure as the zero point, the relative energies in meV/atom are *a* 0; *b* 57.

---

*a*
# Nb2ZnRh3

A relaxed structure of Nb2ZnRh3 (GGA-PBE, the Alexandria database).

Cell: 4.130 12.299 3.661 Å, 90.00 90.00 90.00°
Positions (direct):
Nb 0.000 0.164 0.000
Nb 0.000 0.836 0.000
Nb 0.500 0.336 0.000
Nb 0.500 0.664 0.000
Zn 0.000 0.500 0.000
Zn 0.500 0.000 0.000
Rh 0.000 0.000 0.500
Rh 0.000 0.333 0.500
Rh 0.000 0.667 0.500
Rh 0.500 0.167 0.500
Rh 0.500 0.500 0.500
Rh 0.500 0.833 0.500

Size of the total moment: 0.04 Bohr magnetons per cell
Density of states at the Fermi level: 1.397 states/eV per atom
SG: Cmmm

---

*b*
# Nb2ZnRh3

A relaxed structure of Nb2ZnRh3 (GGA-PBE, the Alexandria database).

Cell: 2.943 2.943 10.634 Å, 90.00 90.00 90.00°
Positions (direct):
Nb 0.000 0.000 0.178
Nb 0.000 0.000 0.822
Zn 0.000 0.000 0.500
Rh 0.500 0.500 0.000
Rh 0.500 0.500 0.347
Rh 0.500 0.500 0.653

Size of the total moment: 0.00 Bohr magnetons per cell
Density of states at the Fermi level: 0.802 states/eV per atom
SG: P4/mmm

---

Taking the most stable structure as the zero point, the relative energies in meV/atom are *a* 92; *b* 0.